Entry 1:
VASP calculation (PBE) on a relaxed structure of Li2TlAs.

energy of formation = -0.21 eV per atom
mass density = 5.7 Mg/m³
raw total energy = -46.74 eV/cell

abc: 6.9853 6.9853 6.9853
angles: 90.00 90.00 90.00
Last column: nearest neighbours and their distance in Å.
Sites, in units of the cell vectors:
Li (0.0000, 0.0000, 0.0000)  4 As 3.02, 4 Li 3.02
Li (0.0000, 0.5000, 0.5000)  4 As 3.02, 4 Li 3.02
Li (0.2500, 0.2500, 0.2500)  4 Tl 3.02, 4 Li 3.02
Li (0.2500, 0.7500, 0.7500)  4 Tl 3.02, 4 Li 3.02
Li (0.5000, 0.0000, 0.5000)  4 As 3.02, 4 Li 3.02
Li (0.5000, 0.5000, 0.0000)  4 As 3.02, 4 Li 3.02
Li (0.7500, 0.2500, 0.7500)  4 Tl 3.02, 4 Li 3.02
Li (0.7500, 0.7500, 0.2500)  4 Tl 3.02, 4 Li 3.02
Tl (0.0000, 0.0000, 0.5000)  4 Li 3.02, 4 As 3.02
Tl (0.0000, 0.5000, 0.0000)  4 Li 3.02, 4 As 3.02
Tl (0.5000, 0.0000, 0.0000)  4 Li 3.02, 4 As 3.02
Tl (0.5000, 0.5000, 0.5000)  4 Li 3.02, 4 As 3.02
As (0.2500, 0.2500, 0.7500)  4 Tl 3.02, 4 Li 3.02
As (0.2500, 0.7500, 0.2500)  4 Tl 3.02, 4 Li 3.02
As (0.7500, 0.2500, 0.2500)  4 Tl 3.02, 4 Li 3.02
As (0.7500, 0.7500, 0.7500)  4 Tl 3.02, 4 Li 3.02

=====

Entry 2:
VASP calculation (PBE) on a relaxed structure of LiYTl2As.

energy of formation = 0.12 eV per atom
mass density = 6.8 Mg/m³
raw total energy = -17.14 eV/cell

abc: 5.6468 5.6468 4.4648
angles: 90.00 90.00 90.00
Last column: nearest neighbours and their distance in Å.
Sites, in units of the cell vectors:
Li (0.0000, 0.0000, 0.0000)  2 As 2.23
Y (0.5000, 0.5000, 0.0000)  8 Tl 3.60, 4 Li 3.99
Tl (0.0000, 0.5000, 0.5000)  2 As 2.82
Tl (0.5000, 0.0000, 0.5000)  2 As 2.82
As (0.0000, 0.0000, 0.5000)  2 Li 2.23

=====

Entry 3:
VASP calculation (PBE) on a relaxed structure of LiZr2TlAs.

energy of formation = 0.68 eV per atom
mass density = 6.0 Mg/m³
raw total energy = -22.61 eV/cell

abc: 5.3794 5.3794 4.4969
angles: 90.00 90.00 90.00
Last column: nearest neighbours and their distance in Å.
Sites, in units of the cell vectors:
Li (0.0000, 0.0000, 0.0000)  2 Tl 2.25
Zr (0.0000, 0.5000, 0.5000)  2 Tl 2.69
Zr (0.5000, 0.0000, 0.5000)  2 Tl 2.69
Tl (0.0000, 0.0000, 0.5000)  2 Li 2.25
As (0.5000, 0.5000, 0.0000)  8 Zr 3.51, 4 Li 3.80

=====

Entry 4:
VASP calculation (PBE) on a relaxed structure of LiTm2As.

energy of formation = -0.39 eV per atom
mass density = 5.7 Mg/m³
raw total energy = -51.15 eV/cell

abc: 3.7655 3.7655 29.7795
angles: 90.00 90.00 120.00
Last column: nearest neighbours and their distance in Å.
Sites, in units of the cell vectors:
Li (0.0000, 0.0000, 0.0000)  2 Tm 3.25
Li (0.3333, 0.6667, 0.6667)  2 Tm 3.25
Li (0.6667, 0.3333, 0.3333)  2 Tm 3.25
Tm (0.0000, 0.0000, 0.1093)  3 As 2.77
Tm (0.0000, 0.0000, 0.8907)  3 As 2.77
Tm (0.3333, 0.6667, 0.5574)  3 As 2.77
Tm (0.3333, 0.6667, 0.7759)  3 As 2.77
Tm (0.6667, 0.3333, 0.2241)  3 As 2.77
Tm (0.6667, 0.3333, 0.4426)  3 As 2.77
As (0.0000, 0.0000, 0.5000)  6 Tm 2.77
As (0.3333, 0.6667, 0.1667)  6 Tm 2.77
As (0.6667, 0.3333, 0.8333)  6 Tm 2.77

=====

Entry 5:
VASP calculation (PBE) on a relaxed structure of Li3TmAs2.

energy of formation = -0.87 eV per atom
mass density = 5.3 Mg/m³
raw total energy = -74.22 eV/cell

abc: 8.3457 8.3457 10.0666
angles: 100.87 100.87 27.59
Last column: nearest neighbours and their distance in Å.
Sites, in units of the cell vectors:
Li (0.0000, 0.0000, 0.0000)  2 As 2.30
Li (0.1228, 0.1228, 0.7336)  4 As 2.53-2.67, 3 Li 2.66-2.80
Li (0.1828, 0.1828, 0.4910)  4 As 2.55-2.65, 1 Li 2.80
Li (0.2907, 0.2907, 0.0905)  4 As 2.40-2.56, 1 Li 2.57
Li (0.4519, 0.4519, 0.1607)  5 Li 2.57-2.77, 4 As 2.77-2.82
Li (0.5481, 0.5481, 0.8393)  5 Li 2.57-2.77, 4 As 2.77-2.82
Li (0.7093, 0.7093, 0.9095)  4 As 2.40-2.56, 1 Li 2.57
Li (0.8172, 0.8172, 0.5090)  4 As 2.55-2.65, 1 Li 2.80
Li (0.8772, 0.8772, 0.2664)  4 As 2.53-2.67, 3 Li 2.66-2.80
Tm (0.3345, 0.3345, 0.7798)  6 As 2.95-3.09, 2 Li 3.29
Tm (0.5000, 0.5000, 0.5000)  6 As 2.93-3.25
Tm (0.6655, 0.6655, 0.2202)  6 As 2.95-3.09, 2 Li 3.29
As (0.0452, 0.0452, 0.3128)  4 Li 2.58-2.77
As (0.1422, 0.1422, 0.0004)  4 Li 2.30-2.52
As (0.3041, 0.3041, 0.3478)  6 Li 2.53-2.65
As (0.6959, 0.6959, 0.6522)  6 Li 2.53-2.65
As (0.8578, 0.8578, 0.9996)  4 Li 2.30-2.52
As (0.9548, 0.9548, 0.6872)  4 Li 2.58-2.77

=====

Entry 6:
VASP calculation (PBE) on a relaxed structure of LiTm2UAs4.

energy of formation = -0.99 eV per atom
mass density = 7.9 Mg/m³
raw total energy = -48.68 eV/cell

abc: 6.8840 4.0642 7.0140
angles: 90.00 108.39 90.00
Last column: nearest neighbours and their distance in Å.
Sites, in units of the cell vectors:
Li (0.0000, 0.0000, 0.0000)  6 As 2.79-2.88
Tm (0.0000, 0.5000, 0.5000)  6 As 2.89
Tm (0.5000, 0.0000, 0.5000)  6 As 2.85-2.87
U (0.5000, 0.5000, 0.0000)  6 As 2.74-2.86
As (0.2498, 0.0000, 0.7552)  1 Li 2.79, 3 Tm 2.85-2.89, 2 U 2.86
As (0.2576, 0.5000, 0.2443)  1 U 2.74, 3 Tm 2.87-2.89, 2 Li 2.88
As (0.7424, 0.5000, 0.7557)  1 U 2.74, 3 Tm 2.87-2.89, 2 Li 2.88
As (0.7502, 0.0000, 0.2448)  1 Li 2.79, 3 Tm 2.85-2.89, 2 U 2.86

=====

Entry 7:
VASP calculation (PBE) on a relaxed structure of LiUAs2.

energy of formation = -0.64 eV per atom
mass density = 8.3 Mg/m³
ΔE to the lowest computed polymorph = 0.0070 eV/atom
raw total energy = -50.16 eV/cell

abc: 3.9227 3.9227 10.2244
angles: 90.00 90.00 90.00
Last column: nearest neighbours and their distance in Å.
Sites, in units of the cell vectors:
Li (0.2500, 0.7500, 0.0000)  4 As 2.63, 4 Li 2.77
Li (0.7500, 0.2500, 0.0000)  4 As 2.63, 4 Li 2.77
U (0.2500, 0.2500, 0.2789)  8 As 2.98-2.99
U (0.7500, 0.7500, 0.7211)  8 As 2.98-2.99
As (0.2500, 0.2500, 0.8284)  4 Li 2.63
As (0.2500, 0.7500, 0.5000)  4 As 2.77, 4 U 2.99
As (0.7500, 0.2500, 0.5000)  4 As 2.77, 4 U 2.99
As (0.7500, 0.7500, 0.1716)  4 Li 2.63

=====

Entry 8:
VASP calculation (PBE) on a relaxed structure of LiUAs2.

energy of formation = -0.59 eV per atom
mass density = 8.6 Mg/m³
ΔE to the lowest computed polymorph = 0.0579 eV/atom
raw total energy = -24.88 eV/cell

abc: 4.5912 4.5912 3.6221
angles: 90.00 90.00 90.00
Last column: nearest neighbours and their distance in Å.
Sites, in units of the cell vectors:
Li (0.0000, 0.0000, 0.0000)  8 As 2.92, 4 U 3.25
U (0.5000, 0.5000, 0.0000)  8 As 2.92, 4 Li 3.25
As (0.0000, 0.5000, 0.5000)  4 Li 2.92, 4 U 2.92, 4 As 3.25
As (0.5000, 0.0000, 0.5000)  4 Li 2.92, 4 U 2.92, 4 As 3.25